The following is a DFT calculation (PBE) of a geometry-optimized Pm2DyHoSe6 structure.

Unit cell a=7.3134 b=7.3134 c=19.5465 alpha=90.00 beta=90.00 gamma=120.00
Closest atoms and distances in Å follow each position.
Space group R3 (No. 146, hexagonal axes)
Asymmetric unit:
Pm 0.0000 0.0000 0.0000  6 Se 2.92-3.00
Pm 0.0000 0.0000 0.4996  6 Se 2.92-3.00
Dy 0.0000 0.0000 0.1994  6 Se 2.84-2.90
Ho 0.0000 0.0000 0.6990  6 Se 2.83-2.89
Se 0.0393 0.3558 0.7700  1 Ho 2.83, 1 Dy 2.90, 2 Pm 2.92-3.00
Se 0.0397 0.6820 0.2701  1 Dy 2.84, 1 Ho 2.89, 2 Pm 2.92-3.00

N(E_F)   0.000 states/eV/atom
Final energy   -5.81 eV per atom
Calculated volume   301.8 Å³/f.u.
Uncorrected formation energy   -18.5 eV per formula unit

***

The following is a DFT calculation (PBE) of a geometry-optimized PmDy3Ho2Se6 structure.

Unit cell a=7.0570 b=12.2923 c=7.0878 alpha=90.00 beta=109.45 gamma=90.00
Closest atoms and distances in Å follow each position.
Space group C2/m (No. 12)
Asymmetric unit:
Pm 0.0000 0.0000 0.0000  6 Se 2.93-2.96
Dy 0.0000 0.1603 0.5000  6 Se 2.87-2.90
Dy 0.0000 0.5000 0.5000  6 Se 2.84-2.91
Ho 0.0000 0.3345 0.0000  6 Se 2.86-2.89
Se 0.2412 0.5000 0.2492  3 Dy 2.84-2.87, 2 Ho 2.86, 1 Pm 2.93
Se 0.2444 0.3286 0.7461  2 Ho 2.88-2.89, 3 Dy 2.88-2.91, 1 Pm 2.96

N(E_F)   0.441 states/eV/atom
Final energy   -5.81 eV per atom
Calculated volume   289.9 Å³/f.u.
Uncorrected formation energy   -21.1 eV per formula unit

***

What M_tot values result from the calculations? In sequence: 0.00 0.00 μB/f.u..
What density values result from the calculations? In sequence: 6.0 8.2 g cm⁻³.